[1]
Entry from Alexandria: a PBEsol-optimized structure of Mg2ZnAu (meta-GGA SCAN).

Cell lengths 6.392, 6.408, 3.350 Å; angles 90.00, 90.00, 90.00 degrees
Element x y z (fractional)
Mg1 0.250 0.250 0.000
Mg2 0.250 0.750 0.000
Mg3 0.750 0.250 0.000
Mg4 0.750 0.750 0.000
Zn1 0.000 0.000 0.500
Zn2 0.500 0.500 0.500
Au1 0.000 0.500 0.500
Au2 0.500 0.000 0.500



[2]
Entry from Alexandria: a PBEsol-optimized structure of Mg2ZnAu (meta-GGA SCAN).

Cell lengths 4.132, 4.132, 7.882 Å; angles 90.00, 90.00, 90.00 degrees
Element x y z (fractional)
Mg1 0.000 0.000 0.000
Mg2 0.000 0.500 0.250
Mg3 0.500 0.000 0.750
Mg4 0.500 0.500 0.500
Zn1 0.000 0.000 0.500
Zn2 0.500 0.500 0.000
Au1 0.000 0.500 0.750
Au2 0.500 0.000 0.250



[3]
Entry from Alexandria: a PBEsol-optimized structure of MgZn4Au (meta-GGA SCAN).

Cell lengths 5.035, 5.035, 5.035 Å; angles 60.00, 60.00, 60.00 degrees
Element x y z (fractional)
Mg1 0.000 0.000 0.000
Zn1 0.375 0.375 0.375
Zn2 0.375 0.375 0.874
Zn3 0.375 0.874 0.375
Zn4 0.874 0.375 0.375
Au1 0.750 0.750 0.750



For reference, raw total energy by record: -94.5 -94.4 -129.4 eV per formula unit.
For reference, ρ by record: 7.5 7.7 8.9 g cm⁻³.
For reference, calculated formation energy by record: -0.482 -0.438 -0.203 eV/atom.